# BaNbV

Crystalline BaNbV at its relaxed geometry (PBE, the Alexandria database).

For the energy relative to the lowest polymorph listed for this composition, the calculation gives 0.053 eV/atom. As for the crystal system: monoclinic. The calculation puts the energy of formation at 0.453 eV per atom.

Unit cell a=7.8206 b=4.4614 c=11.2259 alpha=90.00 beta=103.36 gamma=90.00
With the nearest neighbours (Å) after each atom.
Space group Cm (No. 8)
Inequivalent atoms, fractional coordinates:
Ba1 0.0000 0.0000 0.0000 x2  4 Nb 3.48-3.89
Ba2 0.0477 0.5000 0.6347 x2  4 V 3.48-3.67
Nb1 0.1195 0.0000 0.3557 x2  6 V 2.66-2.70
Nb2 0.2393 0.5000 0.2130 x2  1 V 2.28
V1 0.3091 0.5000 0.4220 x2  1 Nb 2.28
V2 0.4345 0.0000 0.2986 x2  6 Nb 2.66-2.77, 3 V 2.91-2.94